Er3CuAu2 (PBE-GGA, relaxed); ΔH_f (0 K) = -65.6 kJ/mol of atoms
1.0
4.9887 0.0000 0.0000
-2.4944 4.3204 0.0000
0.0000 0.0000 12.2993
Er Cu Au
6 2 4
Cartesian
0.0000 0.0000 3.0311
0.0000 0.0000 9.2683
0.0000 2.8802 5.0980
0.0000 2.8802 11.2949
2.4944 1.4401 1.0044
2.4944 1.4401 7.2014
0.0000 2.8802 2.0591
2.4944 1.4401 10.2402
0.0000 0.0000 0.0000
0.0000 0.0000 6.1497
0.0000 2.8802 8.3020
2.4944 1.4401 3.9973

Er7Cu2Au2 (PBE-GGA, relaxed); ΔH_f (0 K) = -17.5 kJ/mol of atoms
1.0
3.8208 -5.3436 0.0000
3.8208 5.3436 0.0000
0.0000 0.0000 7.0496
Er Cu Au
7 2 2
Cartesian
0.0000 0.0000 0.0000
1.9104 2.6718 1.8568
1.9104 2.6718 5.1927
1.9104 -2.6718 1.8568
1.9104 -2.6718 5.1927
3.8208 0.0000 1.7900
3.8208 0.0000 5.2596
3.8208 2.2018 0.0000
3.8208 -2.2018 0.0000
1.4530 0.0000 3.5248
6.1887 0.0000 3.5248

> The highest ΔH_f (0 K) belongs to which entry?

Er7Cu2Au2

> The lowest ΔH_f (0 K) belongs to which entry?

Er3CuAu2

Copy entry 1 word for word.
Er3CuAu2 (PBE-GGA, relaxed); ΔH_f (0 K) = -65.6 kJ/mol of atoms
1.0
4.9887 0.0000 0.0000
-2.4944 4.3204 0.0000
0.0000 0.0000 12.2993
Er Cu Au
6 2 4
Cartesian
0.0000 0.0000 3.0311
0.0000 0.0000 9.2683
0.0000 2.8802 5.0980
0.0000 2.8802 11.2949
2.4944 1.4401 1.0044
2.4944 1.4401 7.2014
0.0000 2.8802 2.0591
2.4944 1.4401 10.2402
0.0000 0.0000 0.0000
0.0000 0.0000 6.1497
0.0000 2.8802 8.3020
2.4944 1.4401 3.9973

> Among the records above, which one has the highest ΔH_f (0 K)?

Er7Cu2Au2